No. 1
The following is a DFT calculation (PBE) of a relaxed LiZn2Ga3 crystal.

polymorph energy (0 for the lowest one)	0	meV per atom
total energy	-2.358	eV/atom
magnetization	0.00	μB/cell

Structure (POSCAR):
```
LiZn2Ga3
1.0
-1.429 -3.477 1.512
3.263 -1.879 -1.239
3.461 3.003 4.561
Li Zn Ga
1 2 3
Direct
0.000 0.000 0.000 Li
0.327 0.000 0.665 Zn
0.673 0.000 0.335 Zn
0.500 0.500 0.000 Ga
0.831 0.500 0.672 Ga
0.169 0.500 0.328 Ga
```


No. 2
The following is a DFT calculation (PBE) of a relaxed Li4Zn5Ga2 crystal.

total energy	-1.996	eV/atom
magnetization	0.00	μB/cell

Structure (POSCAR):
```
Li4Zn5Ga2
1.0
-2.402 1.387 0.751
-2.580 -1.147 -6.138
-3.284 -7.603 3.544
Li Zn Ga
4 5 2
Direct
0.500 0.709 0.555 Li
0.500 0.157 0.894 Li
0.500 0.291 0.445 Li
0.500 0.843 0.106 Li
0.000 0.568 0.290 Zn
0.000 0.206 0.166 Zn
0.000 0.500 0.000 Zn
0.000 0.794 0.834 Zn
0.000 0.432 0.710 Zn
0.000 0.058 0.638 Ga
0.000 0.942 0.362 Ga
```


No. 3
The following is a DFT calculation (PBE) of a relaxed Li4Zn3Ga2 crystal.

total energy	-2.164	eV/atom
magnetization	0.00	μB/cell

Structure (POSCAR):
```
Li4Zn3Ga2
1.0
-0.680 -1.518 3.696
3.066 1.617 3.451
-2.367 7.404 2.605
Li Zn Ga
4 3 2
Direct
0.662 0.675 0.885 Li
0.008 0.983 0.332 Li
0.992 0.017 0.668 Li
0.338 0.325 0.115 Li
0.339 0.322 0.453 Zn
0.000 0.000 0.000 Zn
0.661 0.678 0.547 Zn
0.321 0.357 0.773 Ga
0.679 0.643 0.227 Ga
```


No. 4
The following is a DFT calculation (PBE) of a relaxed Li2Zn5Ga4 crystal.

total energy	-2.088	eV/atom
magnetization	0.00	μB/cell

Structure (POSCAR):
```
Li2Zn5Ga4
1.0
-2.804 -4.494 0.016
2.483 -4.657 3.964
-4.826 -0.095 4.504
Li Zn Ga
2 5 4
Direct
0.272 0.728 0.728 Li
0.728 0.272 0.272 Li
0.243 0.160 0.840 Zn
0.757 0.840 0.160 Zn
0.000 0.500 0.500 Zn
0.757 0.160 0.840 Zn
0.243 0.840 0.160 Zn
0.239 0.087 0.435 Ga
0.761 0.913 0.565 Ga
0.761 0.565 0.913 Ga
0.239 0.435 0.087 Ga
```


no.,ΔH_f (0 K) (meV per atom),V (Å³/cell)
1,-101,98.2
2,-171,174.4
3,-216,137.1
4,-60,193.6